Here is a crystal of TaZnOs relaxed with PBEsol from Alexandria via LeMat-Bulk. Energies are from SCAN.

Computed properties:
Its energy above the lowest structure with this stoichiometry is 34.7 meV per atom. The calculation puts the total moment at 0.0 μB per formula unit. The formation energy is -0.3 eV per formula unit. Its space-group type is P3m1, No. 156.

Structure (extended XYZ):
```
3
Lattice="4.352 0.000 0.000 -2.176 3.769 0.000 0.000 0.000 2.761" Properties=species:S:1:pos:R:3 pbc="T T T"
Ta 0.000 0.000 0.000
Zn 0.000 2.513 1.244
Os 2.176 1.256 1.844
```